[1]
Entry from Alexandria via LeMat-Bulk: a relaxed structure of SrLiHgPd2 (PBE-GGA).

Values from the calculation:
- Total magnetic moment: 0.00 μB per formula unit
- Energy of formation from the pure elements: 0.68 eV/atom

```
data_SrLiHgPd2
_cell_length_a 5.225
_cell_length_b 5.225
_cell_length_c 5.553
_cell_angle_alpha 90.00
_cell_angle_beta 90.00
_cell_angle_gamma 90.00
_space_group_name_H-M_alt 'P 4/m m m'
_space_group_IT_number 123
_space_group_name_Hall '-P 4 2'
loop_
_atom_site_label
_atom_site_type_symbol
_atom_site_fract_x
_atom_site_fract_y
_atom_site_fract_z
Sr1 Sr 0.000 0.000 0.000
Li1 Li 0.000 0.000 0.500
Hg1 Hg 0.500 0.500 0.500
Pd1 Pd 0.000 0.500 0.000
```

***

[2]
Entry from Alexandria via LeMat-Bulk: a relaxed structure of Sr3Np3MoN8 (PBE-GGA).

Values from the calculation:
- Total magnetic moment: 8.51 μB per formula unit
- Formation energy (no corrections): -882 meV per atom

```
data_Sr3Np3MoN8
_cell_length_a 6.8110
_cell_length_b 6.8110
_cell_length_c 17.9481
_cell_angle_alpha 90.00
_cell_angle_beta 90.00
_cell_angle_gamma 120.00
_space_group_name_H-M_alt 'R -3 m'
_space_group_IT_number 166
_space_group_name_Hall '-R 3 2"'
loop_
_atom_site_label
_atom_site_type_symbol
_atom_site_fract_x
_atom_site_fract_y
_atom_site_fract_z
Sr1 Sr 0.0000 0.5000 0.0000
Np1 Np 0.0000 0.5000 0.5000
Mo1 Mo 0.0000 0.0000 0.5000
N1 N 0.0000 0.0000 0.2353
N2 N 0.0164 0.5082 0.2274
```

***

[3]
Entry from Alexandria via LeMat-Bulk: a relaxed structure of LiPtSe2 (PBE-GGA).

Values from the calculation:
- Total magnetic moment: 0.00 μB per formula unit
- Formation energy (no corrections): 105 meV per atom

```
data_LiPtSe2
_cell_length_a 6.543
_cell_length_b 6.543
_cell_length_c 6.543
_cell_angle_alpha 90.00
_cell_angle_beta 90.00
_cell_angle_gamma 90.00
_space_group_name_H-M_alt 'F -4 3 m'
_space_group_IT_number 216
_space_group_name_Hall 'F -4 2 3'
loop_
_atom_site_label
_atom_site_type_symbol
_atom_site_fract_x
_atom_site_fract_y
_atom_site_fract_z
Li1 Li 0.000 0.000 0.000
Pt1 Pt 0.250 0.250 0.750
Se1 Se 0.000 0.000 0.500
Se2 Se 0.250 0.250 0.250
```

***

One value per record, in order, for volume: 30.32 16.02 17.51 A^3/atom.
One value per record, in order, for final energy: -2.179 -8.968 -3.626 eV per atom.
One value per record, in order, for mass density: 5.56 8.17 8.53 g/cm³.